An optimized crystal structure of Hf2Zr3Tl2, computed with PBE-GGA.

a b c (Å): 15.7255 3.1768 7.4185
angles (deg): 90.00 118.05 90.00
Last column: nearest neighbours and their distance in Å.
Space group C2/m (No. 12)
Unique sites:
Hf: 0.1561 0.0000 0.4696 (multiplicity 4)  4 Zr 3.00-3.18, 4 Hf 3.18-3.19, 2 Tl 3.29
Zr: 0.0000 0.0000 0.0000 (multiplicity 2)  4 Zr 3.01-3.18, 4 Tl 3.10, 2 Hf 3.18
Zr: 0.2132 0.0000 0.1359 (multiplicity 4)  3 Hf 3.00-3.11, 5 Zr 3.01-3.18, 3 Tl 3.12-3.22
Tl: 0.0665 0.5000 0.7304 (multiplicity 4)  3 Tl 3.06-3.18, 5 Zr 3.10-3.22, 2 Hf 3.29

Calculated values
Energy of formation from the pure elements = 84 meV/atom
Crystal system = monoclinic
Total magnetic moment = 0.0 μB/f.u.